1) An optimized crystal structure of In3Hg7Bi. Source: the Alexandria database, functional PBE-GGA.

a = 7.1193 Å, b = 7.1027 Å, c = 7.1027 Å
α = 120.00°, β = 90.00°, γ = 90.00°
Last column: nearest neighbours and their distance in Å.
Atoms (fractional coordinates):
Hg 0.4718 0.8507 0.1493  2 In 3.07, 5 Hg 3.16-3.29
Hg 0.0898 0.1515 0.8485  2 In 3.09, 4 Hg 3.23-3.29, 1 Bi 3.28
Hg 0.0898 0.1515 0.3029  2 In 3.09, 4 Hg 3.23-3.29, 1 Bi 3.28
In 0.7807 0.5042 0.0084  5 Hg 3.07-3.37, 1 Bi 3.28
Hg 0.4718 0.2987 0.1493  2 In 3.07, 5 Hg 3.16-3.29
In 0.7807 0.5042 0.4958  5 Hg 3.07-3.37, 1 Bi 3.28
In 0.7807 0.9916 0.4958  5 Hg 3.07-3.37, 1 Bi 3.28
Hg 0.1614 0.6667 0.3333  3 Hg 3.16, 3 In 3.37
Bi 0.4268 0.3333 0.6667  9 Hg 3.28-3.57, 3 In 3.28
Hg 0.0898 0.6971 0.8485  2 In 3.09, 4 Hg 3.23-3.29, 1 Bi 3.28
Hg 0.4718 0.8507 0.7013  2 In 3.07, 5 Hg 3.16-3.29

***

2) An optimized crystal structure of In3Hg7Bi. Source: the Alexandria database, functional PBE-GGA.

a = 6.7811 Å, b = 6.7811 Å, c = 8.9092 Å
α = 82.81°, β = 82.81°, γ = 124.63°
Last column: nearest neighbours and their distance in Å.
Atoms (fractional coordinates):
In 0.2409 0.7477 0.5512  5 Hg 3.00-3.16, 2 In 3.15
In 0.7477 0.2409 0.5512  5 Hg 3.00-3.16, 2 In 3.15
Hg 0.0167 0.6684 0.2557  2 In 3.09-3.16, 1 Bi 3.17, 1 Hg 3.22
Hg 0.3039 0.3039 0.2702  1 In 2.99, 2 Hg 3.14-3.16
Hg 0.2597 0.7482 0.8986  2 In 2.95-3.11, 1 Bi 3.15, 3 Hg 3.15-3.22
Hg 0.6684 0.0167 0.2557  2 In 3.09-3.16, 1 Bi 3.17, 1 Hg 3.22
Hg 0.5010 0.5010 0.5590  3 In 3.04-3.18, 3 Hg 3.14-3.18
Hg 0.7482 0.2597 0.8986  2 In 2.95-3.11, 1 Bi 3.15, 3 Hg 3.15-3.22
Hg 0.9821 0.9821 0.6100  2 In 3.00, 3 Hg 3.16-3.18, 1 Bi 3.22
Bi 0.9433 0.9433 0.9781  5 Hg 3.15-3.22, 2 In 3.18-3.20
In 0.4632 0.4632 0.9218  4 Hg 2.95-3.18, 2 Bi 3.18-3.20

***

Which of them is the most stable? Correct choice: 1).